Nb2AlMoO | PBE with a Hubbard U | optimized geometry

M_tot, μB/f.u.: 1.66
D(E_F), states/eV/atom: 1.05
Crystal system: tetragonal
Energy above the most stable polymorph in this dataset, eV/atom: 0.0000

Structure (extended XYZ):
```
5
Lattice="-4.797 -0.450 1.724 1.009 -2.390 2.184 0.925 3.602 3.515" Properties=species:S:1:pos:R:3 pbc="T T T"
Mo -1.431 0.381 3.711
Nb 0.463 1.801 1.757
Nb -2.398 -0.225 0.862
O 0.505 -1.195 1.092
Al 0.000 0.000 0.000
```